[1]
# RbBaLi

A relaxed RbBaLi crystal (PBE-GGA, Alexandria via LeMat-Bulk).

Energy (eV/atom): -1.487
Crystal system: monoclinic
Formation energy from the elements (meV per atom): 115
Magnetization (μB per formula unit): 0.2
Polymorph energy (0 for the lowest one) (meV per atom): 56
Volume (Å³/cell): 711.25

a b c (Å): 8.4032 4.8530 17.6870
angles (deg): 90.00 99.57 90.00
Space group Cm (No. 8)
Inequivalent atoms, fractional coordinates:
Rb: 0.0000 0.0000 0.0000 (multiplicity 2)
Rb: 0.2384 0.5000 0.2438 (multiplicity 2)
Ba: 0.0874 0.5000 0.7725 (multiplicity 2)
Ba: 0.3494 0.5000 0.5599 (multiplicity 2)
Li: 0.1300 0.0000 0.4095 (multiplicity 2)
Li: 0.4638 0.0000 0.4107 (multiplicity 2)

[2]
# Cr2PtCl

A relaxed Cr2PtCl crystal (PBE-GGA, Alexandria via LeMat-Bulk).

Energy (eV/atom): -6.601
Crystal system: orthorhombic
Uncorrected formation energy (eV/atom): 0.18
Magnetization (μB per formula unit): 8.1
Polymorph energy (0 for the lowest one) (meV per atom): 189
Volume (Å³/cell): 146.74

a b c (Å): 3.0453 3.6063 13.3615
angles (deg): 90.00 90.00 90.00
Space group Imm2 (No. 44)
Inequivalent atoms, fractional coordinates:
Cr: 0.0000 0.0000 0.0000 (multiplicity 2)
Cr: 0.0000 0.5000 0.2750 (multiplicity 2)
Pt: 0.0000 0.0000 0.4151 (multiplicity 2)
Cl: 0.0000 0.5000 0.6546 (multiplicity 2)

[3]
# TbTmAlCd

A relaxed TbTmAlCd crystal (PBE-GGA, Alexandria via LeMat-Bulk).

Energy (eV/atom): -3.787
Crystal system: cubic
Formation energy from the elements (meV per atom): -347
Magnetization (μB per formula unit): 0.0
Polymorph energy (0 for the lowest one) (meV per atom): 16
Volume (Å³/cell): 392.45

a b c (Å): 7.3214 7.3214 7.3214
angles (deg): 90.00 90.00 90.00
Space group F-43m (No. 216)
Inequivalent atoms, fractional coordinates:
Tb: 0.0000 0.0000 0.0000 (multiplicity 4)
Tm: 0.0000 0.0000 0.5000 (multiplicity 4)
Al: 0.2500 0.2500 0.7500 (multiplicity 4)
Cd: 0.2500 0.2500 0.2500 (multiplicity 4)

[4]
# TmPaCo2

A relaxed TmPaCo2 crystal (PBE-GGA, Alexandria via LeMat-Bulk).

Energy (eV/atom): -7.247
Crystal system: trigonal
Formation energy from the elements (meV per atom): -202
Magnetization (μB per formula unit): 0.0
Polymorph energy (0 for the lowest one) (meV per atom): 199
Volume (Å³/cell): 232.54

a b c (Å): 3.6338 3.6338 20.3351
angles (deg): 90.00 90.00 120.00
Space group R3m (No. 160, hexagonal axes)
Inequivalent atoms, fractional coordinates:
Tm: 0.0000 0.0000 0.0000 (multiplicity 3)
Pa: 0.0000 0.0000 0.1715 (multiplicity 3)
Co: 0.0000 0.0000 0.5790 (multiplicity 3)
Co: 0.0000 0.0000 0.7603 (multiplicity 3)

[5]
# Ac8Pt4S3Cl

A relaxed Ac8Pt4S3Cl crystal (PBE-GGA, Alexandria via LeMat-Bulk).

Energy (eV/atom): -5.973
Crystal system: trigonal
Uncorrected formation energy (eV/atom): -1.52
Magnetization (μB per formula unit): 0.0
Volume (Å³/cell): 1489.68

a b c (Å): 8.6655 8.6655 22.9074
angles (deg): 90.00 90.00 120.00
Space group R-3m (No. 166, hexagonal axes)
Inequivalent atoms, fractional coordinates:
Ac: 0.0000 0.0000 0.2453 (multiplicity 6)
Ac: 0.0069 0.5034 0.2424 (multiplicity 18)
Pt: 0.0000 0.0000 0.5000 (multiplicity 3)
Pt: 0.0000 0.5000 0.5000 (multiplicity 9)
S: 0.0000 0.5000 0.0000 (multiplicity 9)
Cl: 0.0000 0.0000 0.0000 (multiplicity 3)

[6]
# Ta4Mo3

A relaxed Ta4Mo3 crystal (PBE-GGA, Alexandria via LeMat-Bulk).

Energy (eV/atom): -11.502
Crystal system: trigonal
Formation energy from the elements (meV per atom): -87
Magnetization (μB per formula unit): 0.0
Polymorph energy (0 for the lowest one) (meV per atom): 93
Volume (Å³/cell): 359.53

a b c (Å): 4.6323 4.6323 19.3464
angles (deg): 90.00 90.00 120.00
Space group R-3m (No. 166, hexagonal axes)
Inequivalent atoms, fractional coordinates:
Ta: 0.0000 0.0000 0.0745 (multiplicity 6)
Ta: 0.0000 0.0000 0.3562 (multiplicity 6)
Mo: 0.0000 0.0000 0.2142 (multiplicity 6)
Mo: 0.0000 0.0000 0.5000 (multiplicity 3)

[7]
# TiBeAsSe2

A relaxed TiBeAsSe2 crystal (PBE-GGA, Alexandria via LeMat-Bulk).

Energy (eV/atom): -4.381
Crystal system: tetragonal
Uncorrected formation energy (eV/atom): 0.27
Magnetization (μB per formula unit): 0.0
Polymorph energy (0 for the lowest one) (meV per atom): 0
Volume (Å³/cell): 93.23

a b c (Å): 4.6519 4.6519 4.3083
angles (deg): 90.00 90.00 90.00
Space group P4/mmm (No. 123)
Inequivalent atoms, fractional coordinates:
Ti: 0.0000 0.0000 0.0000 (multiplicity 1)
Be: 0.5000 0.5000 0.5000 (multiplicity 1)
As: 0.5000 0.5000 0.0000 (multiplicity 1)
Se: 0.0000 0.5000 0.5000 (multiplicity 2)

[8]
# Nd6Ho8Tm

A relaxed Nd6Ho8Tm crystal (PBE-GGA, Alexandria via LeMat-Bulk).

Energy (eV/atom): -4.481
Crystal system: trigonal
Formation energy from the elements (meV per atom): 166
Magnetization (μB per formula unit): 0.0
Polymorph energy (0 for the lowest one) (meV per atom): 47
Volume (Å³/cell): 500.68

a b c (Å): 9.6379 9.6379 6.2240
angles (deg): 90.00 90.00 120.00
Space group P-3 (No. 147)
Inequivalent atoms, fractional coordinates:
Nd: 0.0885 0.6381 0.1919 (multiplicity 6)
Ho: 0.0386 0.7669 0.6875 (multiplicity 6)
Ho: 0.3333 0.6667 0.6715 (multiplicity 2)
Tm: 0.0000 0.0000 0.0000 (multiplicity 1)

[9]
# Ga2Pb2Cl

A relaxed Ga2Pb2Cl crystal (PBE-GGA, Alexandria via LeMat-Bulk).

Energy (eV/atom): -3.138
Crystal system: tetragonal
Uncorrected formation energy (eV/atom): -0.07
Magnetization (μB per formula unit): 0.0
Polymorph energy (0 for the lowest one) (meV per atom): 148
Volume (Å³/cell): 263.89

a b c (Å): 8.4493 8.4493 3.6964
angles (deg): 90.00 90.00 90.00
Space group P4/mbm (No. 127)
Inequivalent atoms, fractional coordinates:
Ga: 0.1106 0.3894 0.0000 (multiplicity 4)
Pb: 0.1928 0.6928 0.5000 (multiplicity 4)
Cl: 0.0000 0.0000 0.0000 (multiplicity 2)

[10]
# TaPdN2

A relaxed TaPdN2 crystal (PBE-GGA, Alexandria via LeMat-Bulk).

Energy (eV/atom): -8.728
Crystal system: tetragonal
Uncorrected formation energy (eV/atom): -0.30
Magnetization (μB per formula unit): 0.0
Polymorph energy (0 for the lowest one) (meV per atom): 149
Volume (Å³/cell): 223.71

a b c (Å): 4.8480 4.8480 9.5181
angles (deg): 90.00 90.00 90.00
Space group I-42d (No. 122)
Inequivalent atoms, fractional coordinates:
Ta: 0.0000 0.0000 0.0000 (multiplicity 4)
Pd: 0.0000 0.0000 0.5000 (multiplicity 4)
N: 0.2044 0.2500 0.1250 (multiplicity 8)

[11]
# Dy2TmInN

A relaxed Dy2TmInN crystal (PBE-GGA, Alexandria via LeMat-Bulk).

Energy (eV/atom): -5.953
Crystal system: tetragonal
Uncorrected formation energy (eV/atom): -1.01
Magnetization (μB per formula unit): 0.0
Volume (Å³/cell): 110.04

a b c (Å): 4.8192 4.8192 4.7380
angles (deg): 90.00 90.00 90.00
Space group P4/mmm (No. 123)
Inequivalent atoms, fractional coordinates:
Dy: 0.0000 0.5000 0.0000 (multiplicity 2)
Tm: 0.0000 0.0000 0.5000 (multiplicity 1)
In: 0.5000 0.5000 0.5000 (multiplicity 1)
N: 0.0000 0.0000 0.0000 (multiplicity 1)

[12]
# YAlSb2

A relaxed YAlSb2 crystal (PBE-GGA, Alexandria via LeMat-Bulk).

Energy (eV/atom): -4.686
Crystal system: cubic
Uncorrected formation energy (eV/atom): -0.07
Magnetization (μB per formula unit): 0.0
Volume (Å³/cell): 417.54

a b c (Å): 7.4742 7.4742 7.4742
angles (deg): 90.00 90.00 90.00
Space group F-43m (No. 216)
Inequivalent atoms, fractional coordinates:
Y: 0.0000 0.0000 0.0000 (multiplicity 4)
Al: 0.2500 0.2500 0.7500 (multiplicity 4)
Sb: 0.0000 0.0000 0.5000 (multiplicity 4)
Sb: 0.2500 0.2500 0.2500 (multiplicity 4)

[13]
# Ac3InGa3

A relaxed Ac3InGa3 crystal (PBE-GGA, Alexandria via LeMat-Bulk).

Energy (eV/atom): -3.964
Crystal system: monoclinic
Formation energy from the elements (meV per atom): -515
Magnetization (μB per formula unit): 0.0
Volume (Å³/cell): 831.69

a b c (Å): 12.0674 4.7725 15.4174
angles (deg): 90.00 110.50 90.00
Space group C2/m (No. 12)
Inequivalent atoms, fractional coordinates:
Ac: 0.0164 0.0000 0.3762 (multiplicity 4)
Ac: 0.1107 0.0000 0.9281 (multiplicity 4)
Ac: 0.2378 0.0000 0.2222 (multiplicity 4)
In: 0.2315 0.5000 0.3963 (multiplicity 4)
Ga: 0.0247 0.5000 0.2232 (multiplicity 4)
Ga: 0.0975 0.5000 0.0764 (multiplicity 4)
Ga: 0.1302 0.5000 0.5433 (multiplicity 4)

[14]
# Tb4AuSe2S

A relaxed Tb4AuSe2S crystal (PBE-GGA, Alexandria via LeMat-Bulk).

Energy (eV/atom): -5.696
Crystal system: monoclinic
Uncorrected formation energy (eV/atom): -1.58
Magnetization (μB per formula unit): 0.0
Volume (Å³/cell): 194.10

a b c (Å): 7.1484 4.0011 7.1657
angles (deg): 90.00 108.72 90.00
Space group P2/m (No. 10)
Inequivalent atoms, fractional coordinates:
Tb: 0.2399 0.0000 0.2395 (multiplicity 2)
Tb: 0.2435 0.5000 0.7516 (multiplicity 2)
Au: 0.0000 0.0000 0.5000 (multiplicity 1)
Se: 0.5000 0.0000 0.0000 (multiplicity 1)
Se: 0.5000 0.5000 0.5000 (multiplicity 1)
S: 0.0000 0.5000 0.0000 (multiplicity 1)

[15]
# Pr4Os6O19

A relaxed Pr4Os6O19 crystal (PBE-GGA, Alexandria via LeMat-Bulk).

Energy (eV/atom): -8.032
Crystal system: cubic
Uncorrected formation energy (eV/atom): -1.80
Magnetization (μB per formula unit): 0.0
Volume (Å³/cell): 759.60

a b c (Å): 9.1242 9.1242 9.1242
angles (deg): 90.00 90.00 90.00
Space group I23 (No. 197)
Inequivalent atoms, fractional coordinates:
Pr: 0.1555 0.1555 0.1555 (multiplicity 8)
Os: 0.0000 0.1373 0.5000 (multiplicity 12)
O: 0.0000 0.0000 0.0000 (multiplicity 2)
O: 0.0000 0.0000 0.3227 (multiplicity 12)
O: 0.0079 0.2832 0.6576 (multiplicity 24)

[16]
# BeAuBr2

A relaxed BeAuBr2 crystal (PBE-GGA, Alexandria via LeMat-Bulk).

Energy (eV/atom): -2.734
Crystal system: monoclinic
Uncorrected formation energy (eV/atom): -0.15
Magnetization (μB per formula unit): 0.0
Polymorph energy (0 for the lowest one) (meV per atom): 127
Volume (Å³/cell): 239.63

a b c (Å): 10.3086 3.1419 8.4629
angles (deg): 90.00 119.04 90.00
Space group Cm (No. 8)
Inequivalent atoms, fractional coordinates:
Be: 0.0000 0.0000 0.0000 (multiplicity 2)
Au: 0.3097 0.0000 0.8212 (multiplicity 2)
Br: 0.0602 0.5000 0.6306 (multiplicity 2)
Br: 0.1501 0.5000 0.1676 (multiplicity 2)

[17]
# LiMnPbAu

A relaxed LiMnPbAu crystal (PBE-GGA, Alexandria via LeMat-Bulk).

Energy (eV/atom): -4.620
Crystal system: cubic
Formation energy from the elements (meV per atom): -103
Magnetization (μB per formula unit): 3.7
Volume (Å³/cell): 291.40

a b c (Å): 6.6297 6.6297 6.6297
angles (deg): 90.00 90.00 90.00
Space group F-43m (No. 216)
Inequivalent atoms, fractional coordinates:
Li: 0.0000 0.0000 0.0000 (multiplicity 4)
Mn: 0.0000 0.0000 0.5000 (multiplicity 4)
Pb: 0.2500 0.2500 0.2500 (multiplicity 4)
Au: 0.2500 0.2500 0.7500 (multiplicity 4)

[18]
# La5CeEr

A relaxed La5CeEr crystal (PBE-GGA, Alexandria via LeMat-Bulk).

Energy (eV/atom): -4.829
Crystal system: triclinic
Formation energy from the elements (meV per atom): 191
Magnetization (μB per formula unit): 1.2
Volume (Å³/cell): 252.83

a b c (Å): 6.2792 6.2827 7.1676
angles (deg): 99.50 99.22 111.02
Space group P-1 (No. 2)
Inequivalent atoms, fractional coordinates:
La: 0.0000 0.0000 0.0000 (multiplicity 1)
La: 0.0319 0.6070 0.2794 (multiplicity 2)
La: 0.3945 0.9673 0.7213 (multiplicity 2)
Ce: 0.5000 0.5000 0.5000 (multiplicity 1)
Er: 0.5000 0.5000 0.0000 (multiplicity 1)

[19]
# TiAgS2Cl

A relaxed TiAgS2Cl crystal (PBE-GGA, Alexandria via LeMat-Bulk).

Energy (eV/atom): -3.693
Crystal system: tetragonal
Uncorrected formation energy (eV/atom): 0.48
Magnetization (μB per formula unit): 0.1
Polymorph energy (0 for the lowest one) (meV per atom): 1034
Volume (Å³/cell): 111.85

a b c (Å): 4.8603 4.8603 4.7349
angles (deg): 90.00 90.00 90.00
Space group P4/mmm (No. 123)
Inequivalent atoms, fractional coordinates:
Ti: 0.0000 0.0000 0.0000 (multiplicity 1)
Ag: 0.5000 0.5000 0.5000 (multiplicity 1)
S: 0.0000 0.5000 0.5000 (multiplicity 2)
Cl: 0.5000 0.5000 0.0000 (multiplicity 1)

[20]
# CrFe2Tc

A relaxed CrFe2Tc crystal (PBE-GGA, Alexandria via LeMat-Bulk).

Energy (eV/atom): -9.016
Crystal system: trigonal
Formation energy from the elements (meV per atom): 213
Magnetization (μB per formula unit): 2.8
Volume (Å³/cell): 147.20

a b c (Å): 2.6038 2.6038 25.0696
angles (deg): 90.00 90.00 120.00
Space group R3m (No. 160, hexagonal axes)
Inequivalent atoms, fractional coordinates:
Cr: 0.0000 0.0000 0.0000 (multiplicity 3)
Fe: 0.0000 0.0000 0.4913 (multiplicity 3)
Fe: 0.0000 0.0000 0.7447 (multiplicity 3)
Tc: 0.0000 0.0000 0.2439 (multiplicity 3)